# 1
Computed, not measured: an optimized crystal structure of CsLiUTe3 at the PBE-GGA level of DFT.

Summary:
ΔE_f (raw)   -0.92 eV per atom
Space group   P2_1/m (11)
Raw total energy   -4.83 eV per atom

Structure (POSCAR):
```
CsLiUTe3
1.0
-0.316 3.155 -3.287
1.198 -7.252 -7.075
-10.469 1.373 2.325
Te U Li Cs
6 2 2 2
Cartesian
-5.771 1.604 -2.664
-0.549 -3.777 -8.331
-1.269 -0.855 -5.458
-8.318 -1.869 -2.580
-9.037 1.052 0.293
-3.816 -4.329 -5.374
-8.732 1.207 -2.760
-0.855 -3.932 -5.278
-3.329 -3.755 -8.042
-6.258 1.030 0.005
-2.542 -0.412 -1.737
-7.045 -2.312 -6.300
```

***

# 2
Computed, not measured: an optimized crystal structure of PtAu15 at the PBE-GGA level of DFT.

Summary:
ΔH_f (0 K)   0.024 eV/atom
Space group   P-6m2 (187)
Raw total energy   -3.43 eV per atom

Structure (POSCAR):
```
PtAu15
1.0
-2.328 -5.313 -0.553
2.738 2.466 -4.514
8.432 -4.000 2.930
Au Pt
15 1
Cartesian
6.232 -5.793 -1.274
3.175 -1.136 -2.455
3.259 -6.073 -1.340
3.055 -4.657 1.180
4.856 -7.032 0.994
7.356 -3.119 -1.002
0.601 -5.014 -0.484
4.417 -3.430 -1.065
6.026 -4.363 1.272
4.216 -2.000 1.465
0.208 -1.419 -2.536
1.977 -3.775 -2.753
1.368 1.228 -2.260
1.573 -0.191 -4.785
1.771 -2.344 -0.206
0.000 0.000 0.000
```

***

# 3
Computed, not measured: an optimized crystal structure of LiAc2As3Rh4 at the PBE-GGA level of DFT.

Summary:
ΔH_f (0 K)   -0.891 eV/atom
Space group   P-4m2 (115)
Raw total energy   -6.24 eV per atom

Structure (POSCAR):
```
LiAc2As3Rh4
1.0
-1.884 1.090 -3.671
0.646 -3.942 -1.502
-9.338 -3.015 3.898
Ac Rh As Li
2 4 3 1
Cartesian
-6.611 -4.210 2.143
-3.346 -0.231 -0.832
-0.619 -1.426 -2.586
-6.856 -1.365 0.633
-3.101 -3.077 0.678
0.000 0.000 0.000
-4.669 -1.508 1.949
-9.048 -2.072 1.548
-0.909 -2.369 -0.237
-5.288 -2.934 -0.637
```

***

# 4
Computed, not measured: an optimized crystal structure of Ac6PmTl5 at the PBE-GGA level of DFT.

Summary:
ΔH_f (0 K)   -0.169 eV/atom
Space group   C2/m (12)
Relative energy among the computed polymorphs   83 meV per atom
Raw total energy   -3.61 eV per atom

Structure (POSCAR):
```
Ac6PmTl5
1.0
-4.881 -0.666 4.911
5.419 -5.082 7.903
4.354 2.902 6.324
Tl Ac Pm
5 6 1
Cartesian
0.269 -2.874 6.407
1.499 1.199 8.183
6.319 -2.100 9.203
3.392 -4.044 10.956
3.453 -0.080 5.024
-1.429 0.063 6.655
6.320 -2.909 12.484
1.731 -0.987 11.256
-0.035 -4.132 9.505
0.572 -1.616 3.310
3.160 -1.859 7.883
0.000 0.000 0.000
```

***

# 5
Computed, not measured: an optimized crystal structure of In3BMo at the PBE-GGA level of DFT.

Summary:
ΔH_f (0 K)   1.131 eV/atom
Space group   Pm-3m (221)
Relative energy among the computed polymorphs   0 meV per atom
Raw total energy   -4.01 eV per atom

Structure (POSCAR):
```
In3BMo
1.0
4.724 0.000 0.000
0.000 4.724 0.000
0.000 0.000 4.724
Mo In B
1 3 1
Cartesian
2.362 2.362 2.362
0.000 2.362 0.000
0.000 0.000 2.362
2.362 0.000 0.000
0.000 0.000 0.000
```

***

# 6
Computed, not measured: an optimized crystal structure of CaTb2Pm12 at the PBE-GGA level of DFT.

Summary:
ΔH_f (0 K)   0.109 eV/atom
Space group   C2/m (12)
Raw total energy   -4.44 eV per atom

Structure (POSCAR):
```
CaTb2Pm12
1.0
-5.505 3.731 1.500
3.327 -2.654 5.326
12.674 21.337 6.353
Pm Ca Tb
24 2 4
Cartesian
3.811 14.464 6.625
7.430 14.817 7.662
7.891 20.301 6.947
9.189 17.433 7.815
6.236 12.266 5.754
-1.028 2.702 6.894
2.269 11.143 4.642
8.134 17.947 11.243
1.273 5.005 5.349
0.056 2.168 3.479
2.396 4.442 1.951
5.310 12.686 9.238
2.637 2.152 6.224
-1.812 5.305 4.319
8.300 11.295 8.408
5.349 9.610 4.012
12.276 17.069 8.868
10.435 20.250 9.698
4.155 7.058 2.104
6.298 15.387 11.057
11.529 19.708 6.287
6.612 7.927 6.684
3.109 7.566 5.535
4.097 10.266 7.354
14.325 19.994 9.016
0.587 -0.772 6.075
5.077 4.612 4.695
0.628 7.769 2.798
9.835 14.610 10.397
5.451 17.838 8.469
```

***

# 7
Computed, not measured: an optimized crystal structure of LuMgCdRh at the PBE-GGA level of DFT.

Summary:
ΔH_f (0 K)   -0.434 eV/atom
Space group   F-43m (216)
Raw total energy   -4.03 eV per atom

Structure (POSCAR):
```
LuMgCdRh
1.0
4.808 0.000 0.000
2.404 4.164 0.000
2.404 1.388 3.926
Mg Cd Rh Lu
1 1 1 1
Cartesian
0.000 0.000 0.000
2.404 1.388 0.981
7.212 4.164 2.944
4.808 2.776 1.963
```

***

# 8
Computed, not measured: an optimized crystal structure of Ac6Pb3O at the PBE-GGA level of DFT.

Summary:
ΔE_f (raw)   -0.79 eV per atom
Space group   Cmc2_1 (36)
Raw total energy   -4.86 eV per atom

Structure (POSCAR):
```
Ac6Pb3O
1.0
7.703 0.000 0.000
0.000 10.396 0.041
0.000 -2.280 10.142
Pb O Ac
6 2 12
Cartesian
7.580 5.437 9.603
6.929 5.454 3.979
7.580 -0.032 2.740
3.729 2.678 0.580
3.729 8.148 7.443
3.077 2.661 6.205
4.126 7.814 2.098
0.274 0.301 8.085
5.531 0.646 7.810
4.809 9.691 0.602
5.365 5.016 7.106
1.337 2.357 9.080
1.513 5.807 6.475
1.337 -0.209 5.859
5.365 2.308 3.708
5.189 5.758 1.103
1.513 3.100 3.078
1.679 7.469 2.373
0.957 -1.576 9.581
5.189 8.325 4.324
```

***

# 9
Computed, not measured: an optimized crystal structure of Pr8YMg2 at the PBE-GGA level of DFT.

Summary:
ΔH_f (0 K)   0.104 eV/atom
Space group   C2/m (12)
Relative energy among the computed polymorphs   100 meV per atom
Raw total energy   -4.25 eV per atom

Structure (POSCAR):
```
Pr8YMg2
1.0
5.737 1.385 0.000
2.217 8.810 0.000
1.109 4.405 8.027
Pr Y Mg
8 1 2
Cartesian
5.355 6.169 0.000
3.666 11.552 6.195
2.600 4.027 0.000
5.398 3.048 1.833
5.086 9.503 3.379
3.977 5.098 4.648
6.506 7.453 6.195
2.557 7.147 1.833
2.869 0.693 0.000
1.109 4.405 3.102
2.217 8.810 4.926
```

***

# 10
Computed, not measured: an optimized crystal structure of NaGe2Pt2 at the PBE-GGA level of DFT.

Summary:
ΔH_f (0 K)   -0.457 eV/atom
Space group   I4/mmm (139)
Relative energy among the computed polymorphs   25 meV per atom
Raw total energy   -4.98 eV per atom

Structure (POSCAR):
```
NaGe2Pt2
1.0
-1.115 -0.064 4.185
-0.088 -4.329 -0.090
4.373 -2.325 3.371
Ge Na Pt
2 1 2
Cartesian
2.524 -4.490 5.086
0.646 -2.229 2.379
0.000 0.000 0.000
1.328 -2.293 4.801
1.842 -4.426 2.664
```

***

# 11
Computed, not measured: an optimized crystal structure of K2ZrF6 at the PBE-GGA level of DFT.

Summary:
ΔE_f (raw)   -3.40 eV per atom
Space group   P4_2/mnm (136)
Raw total energy   -5.84 eV per atom

Structure (POSCAR):
```
K2ZrF6
1.0
-2.156 4.846 -1.945
-5.126 -1.561 1.791
2.027 4.966 10.128
F Zr K
12 2 4
Cartesian
-1.869 0.843 -0.039
-1.865 5.770 4.028
-2.410 4.375 0.032
-1.619 2.902 3.691
-2.845 3.876 9.943
-1.090 4.200 6.338
-4.342 0.208 2.461
-4.165 4.051 3.637
-3.635 5.349 6.284
-0.913 8.043 7.513
-3.390 2.480 5.946
-5.412 2.442 -0.114
0.000 0.000 0.000
-2.627 4.125 4.987
0.681 1.668 3.402
-1.947 5.793 8.389
-3.308 2.457 1.585
1.346 3.298 6.726
```

***

# 12
Computed, not measured: an optimized crystal structure of Sc3Be8Co at the PBE-GGA level of DFT.

Summary:
ΔH_f (0 K)   -0.126 eV/atom
Space group   R3m (160)
Raw total energy   -4.79 eV per atom

Structure (POSCAR):
```
Sc3Be8Co
1.0
4.392 0.000 1.326
1.996 3.912 1.326
-0.045 -0.027 8.086
Be Sc Co
8 3 1
Cartesian
3.758 3.658 3.426
2.752 1.685 2.757
4.335 2.655 9.451
3.809 3.653 7.298
5.964 3.653 7.949
4.985 1.733 7.298
4.966 1.685 3.426
1.186 0.727 4.007
6.334 3.879 2.831
3.190 1.954 5.307
2.376 1.455 8.003
5.592 3.425 5.288
```

***

# 13
Computed, not measured: an optimized crystal structure of Pr8AgIr5 at the PBE-GGA level of DFT.

Summary:
ΔH_f (0 K)   -0.519 eV/atom
Space group   I-4 (82)
Raw total energy   -6.62 eV per atom

Structure (POSCAR):
```
Pr8AgIr5
1.0
7.372 0.000 -2.613
-3.641 6.413 -2.604
-0.090 0.000 7.820
Ir Pr Ag
5 8 1
Cartesian
3.168 3.982 1.371
-1.320 2.431 -0.049
3.213 5.686 -2.598
2.221 0.728 6.484
3.641 0.000 2.604
0.911 1.563 1.535
1.403 5.695 2.925
4.487 1.575 0.324
-1.894 4.850 -2.238
6.862 0.719 2.985
1.435 4.066 -0.910
3.244 2.347 4.256
-1.884 4.839 1.538
-0.045 3.207 3.910
```

***

# 14
Computed, not measured: an optimized crystal structure of Th2Ga4Co3Rh at the PBE-GGA level of DFT.

Summary:
ΔH_f (0 K)   -0.523 eV/atom
Space group   P-4m2 (115)
Raw total energy   -6.08 eV per atom

Structure (POSCAR):
```
Th2Ga4Co3Rh
1.0
-4.084 -0.876 0.466
0.992 -3.639 1.854
0.040 4.450 8.716
Ga Th Co Rh
4 2 3 1
Cartesian
0.511 -0.174 4.149
-2.017 2.367 5.727
-1.546 -2.258 1.160
0.000 0.000 0.000
0.526 1.501 7.431
-2.032 0.691 2.445
0.020 2.225 4.358
0.501 -1.246 2.050
-2.007 3.439 7.826
-1.526 -0.033 5.518
```

***

# 15
Computed, not measured: an optimized crystal structure of CrCoHg2 at the PBE-GGA level of DFT.

Summary:
ΔH_f (0 K)   0.747 eV/atom
Space group   I-42d (122)
Relative energy among the computed polymorphs   380 meV per atom
Raw total energy   -3.59 eV per atom

Structure (POSCAR):
```
CrCoHg2
1.0
-2.024 6.750 -2.085
-6.603 -1.036 3.055
-3.336 3.914 2.958
Hg Cr Co
4 2 2
Cartesian
-10.201 7.912 3.136
-5.587 5.102 2.513
-5.168 1.021 2.436
-2.970 5.221 -0.229
-4.314 2.857 0.485
-7.126 2.867 3.249
0.000 0.000 0.000
-4.837 6.761 0.679
```

***

# 16
Computed, not measured: an optimized crystal structure of Sm2Y6ErSc at the PBE-GGA level of DFT.

Summary:
ΔH_f (0 K)   0.120 eV/atom
Space group   C2/c (15)
Raw total energy   -5.79 eV per atom

Structure (POSCAR):
```
Sm2Y6ErSc
1.0
-4.470 4.064 -7.494
3.167 -6.674 -4.568
-7.280 -1.389 4.530
Y Sm Sc Er
12 4 2 2
Cartesian
-1.025 -2.905 -7.026
-5.307 -1.640 2.396
0.901 -3.049 -3.993
-1.370 -5.956 -4.912
-1.905 -4.919 -1.835
-3.276 -2.359 -9.929
-7.213 1.957 -2.621
-9.484 -0.949 -3.539
-2.277 -2.208 -3.837
-6.306 -1.791 -3.696
-6.678 0.920 -5.698
-7.558 -1.094 -0.506
-4.606 -4.491 -3.870
-3.977 0.493 -3.662
-7.871 -1.938 -6.721
-0.713 -2.060 -0.812
-4.114 -2.540 -1.074
-4.469 -1.459 -6.458
-10.437 1.561 -1.261
1.854 -5.559 -6.272
```

***

# 17
Computed, not measured: an optimized crystal structure of PrSiRh2 at the PBE-GGA level of DFT.

Summary:
ΔE_f (raw)   -0.82 eV per atom
Space group   R-3m (166)
Raw total energy   -7.05 eV per atom

Structure (POSCAR):
```
PrSiRh2
1.0
-3.383 -0.045 -2.359
-2.887 -2.886 0.590
-4.488 2.112 2.789
Si Rh Pr
1 2 1
Cartesian
0.000 0.000 0.000
-2.400 -0.578 -0.153
-8.357 -0.242 1.172
-5.379 -0.410 0.510
```

***

# 18
Computed, not measured: an optimized crystal structure of NdDyTlRh at the PBE-GGA level of DFT.

Summary:
ΔH_f (0 K)   -0.561 eV/atom
Space group   P4mm (99)
Relative energy among the computed polymorphs   0 meV per atom
Raw total energy   -5.33 eV per atom

Structure (POSCAR):
```
NdDyTlRh
1.0
-1.024 3.333 -0.617
-1.973 -1.110 -2.723
-6.195 -0.998 4.894
Tl Nd Dy Rh
1 1 1 1
Cartesian
-0.518 -0.083 0.409
-6.362 0.328 2.173
-3.735 0.751 0.097
-3.437 -0.554 2.715
```

***

# 19
Computed, not measured: an optimized crystal structure of TcSb2PI at the PBE-GGA level of DFT.

Summary:
ΔE_f (raw)   0.88 eV per atom
Space group   P4/mmm (123)
Relative energy among the computed polymorphs   0 meV per atom
Raw total energy   -4.23 eV per atom

Structure (POSCAR):
```
TcSb2PI
1.0
-0.683 3.659 -3.406
-4.369 -2.107 -1.388
-2.696 3.065 3.833
P Sb I Tc
1 2 1 1
Cartesian
-3.874 2.309 -0.480
-0.341 1.830 -1.703
-2.185 -1.054 -0.694
-1.348 1.533 1.917
0.000 0.000 0.000
```

***

# 20
Computed, not measured: an optimized crystal structure of ZnSeO2F at the PBE-GGA level of DFT.

Summary:
ΔE_f (raw)   -0.38 eV per atom
Space group   P4/mmm (123)
Raw total energy   -3.69 eV per atom

Structure (POSCAR):
```
ZnSeO2F
1.0
-1.895 2.290 -2.541
-2.670 0.826 2.735
2.411 3.452 1.312
O Se F Zn
2 1 1 1
Cartesian
-1.335 0.413 1.368
-0.948 1.145 -1.271
0.000 0.000 0.000
1.206 1.726 0.656
-1.077 3.284 0.753
```